No. 1
The following is a DFT calculation (PBE) of an optimized crystal structure of KBa2LiI6.

```
KBa2LiI6
1.0
-5.584 6.338 -1.364
-8.070 -1.807 -2.195
-6.512 1.361 6.136
K I Li Ba
1 6 1 2
Direct
0.816 0.816 0.552
0.690 0.120 0.771
0.120 0.419 0.771
0.219 0.958 0.246
0.958 0.577 0.246
0.577 0.219 0.246
0.419 0.690 0.771
0.327 0.327 0.020
0.014 0.014 0.957
0.521 0.521 0.437
```

Properties
SG: R3, No. 146
crystal system: trigonal
ΔE_f (raw): -1.566 eV per atom

=====

No. 2
The following is a DFT calculation (PBE) of an optimized crystal structure of ZrIn2Ga.

```
ZrIn2Ga
1.0
-2.977 1.349 0.203
-2.670 -1.881 -0.241
-1.817 -1.612 10.471
In Ga Zr
2 1 1
Direct
0.093 0.093 0.721
0.907 0.907 0.279
0.500 0.500 0.500
0.000 0.000 0.000
```

Properties
ΔH_f (0 K): 0.242 eV per atom
SG: R-3m, No. 166
crystal system: trigonal